No. 1
{
  "formula": "YMg3Pt",
  "functional": "SCAN",
  "state": "PBEsol geometry",
  "final_energy_ev_per_cell": -115.0,
  "crystal_system": "cubic",
  "cell": [[-3.9646, -2.8547, 0.7479], [1.0622, -0.2118, 4.8222], [-2.7532, 4.0289, 0.7834]],
  "species": ["Mg", "Mg", "Mg", "Pt", "Y"],
  "frac_coords": [[0.0000, 0.5000, 0.0000], [0.5000, 0.0000, 0.0000], [0.0000, 0.0000, 0.5000], [0.0000, 0.0000, 0.0000], [0.5000, 0.5000, 0.5000]]
}



No. 2
{
  "formula": "YMg2Pt",
  "functional": "SCAN",
  "state": "PBEsol geometry",
  "final_energy_ev_per_cell": -109.0,
  "crystal_system": "orthorhombic",
  "cell": [[-1.4183, 0.5608, 2.5962], [0.4512, -5.4095, 1.4150], [4.0577, 3.5960, 1.4398]],
  "species": ["Y", "Mg", "Mg", "Pt"],
  "frac_coords": [[0.5000, 0.5000, 0.5000], [0.0000, 0.5000, 0.0000], [0.0000, 0.0000, 0.5000], [0.5000, 0.0000, 0.0000]]
}



No. 3
{
  "formula": "YMg2Pt",
  "functional": "SCAN",
  "state": "PBEsol geometry",
  "final_energy_ev_per_cell": -110.1,
  "crystal_system": "tetragonal",
  "cell": [[3.2515, 0.0000, 0.0000], [0.0000, 3.2515, 0.0000], [0.0000, 0.0000, 7.8265]],
  "species": ["Y", "Pt", "Mg", "Mg"],
  "frac_coords": [[0.5000, 0.5000, 0.5000], [0.5000, 0.5000, 0.0000], [0.0000, 0.0000, 0.8123], [0.0000, 0.0000, 0.1877]]
}